Density functional theory data (PBE-GGA) for LaSb after structural relaxation.

For the total DFT energy (no corrections), the calculation gives -10.42 eV/f.u.

The space group is Pm-3n (No. 223) and the conventional cell measures 8.9179, 8.9179 and 8.9179 Å, with angles of 90.00, 90.00 and 90.00 degrees. Symmetry generates all atoms from La at (0.0000, 0.2500, 0.5000) and Sb at (0.0000, 0.5000, 0.2500).

Density functional theory data (PBE-GGA) for PrThSe2O after structural relaxation.

For the total DFT energy (no corrections), the calculation gives -35.51 eV/f.u.

The space group is P4/nmm (No. 129, origin choice 2) and the conventional cell measures 4.1554, 4.1554 and 14.4014 Å, with angles of 90.00, 90.00 and 90.00 degrees. Symmetry generates all atoms from Pr at (0.2500, 0.2500, 0.0814), Th at (0.2500, 0.2500, 0.6107), Se at (0.2500, 0.2500, 0.3905), Se at (0.2500, 0.2500, 0.8029) and O at (0.2500, 0.7500, 0.0000).

Density functional theory data (PBE-GGA) for BaSiSb2 after structural relaxation.

For the total DFT energy (no corrections), the calculation gives -15.61 eV/f.u.

The space group is P4mm (No. 99) and the conventional cell measures 3.6144, 3.6144 and 9.1574 Å, with angles of 90.00, 90.00 and 90.00 degrees. Symmetry generates all atoms from Ba at (0.0000, 0.0000, 0.0000), Si at (0.5000, 0.5000, 0.7299), Sb at (0.0000, 0.0000, 0.5995) and Sb at (0.5000, 0.5000, 0.2795).

Density functional theory data (PBE-GGA) for Cu2Ag2Au3 after structural relaxation.

The calculation puts the formation energy at -0.011 eV/atom. The energy above the most stable polymorph in this dataset comes out at 0 meV/atom.

The space group is Cmmm (No. 65) and the conventional cell measures 2.8657, 28.3895 and 2.8591 Å, with angles of 90.00, 90.00 and 90.00 degrees. Symmetry generates all atoms from Cu at (0.0000, 0.0651, 0.0000), Ag at (0.0000, 0.2067, 0.0000), Au at (0.0000, 0.3703, 0.5000) and Au at (0.0000, 0.5000, 0.5000).

Density functional theory data (PBE-GGA) for Ac2Er2Pd15 after structural relaxation.

The calculation puts the formation energy at -0.623 eV/atom.

The space group is R-3m (No. 166, hexagonal axes) and the conventional cell measures 9.3263, 9.3263 and 14.2823 Å, with angles of 90.00, 90.00 and 120.00 degrees. Symmetry generates all atoms from Ac at (0.0000, 0.0000, 0.1434), Er at (0.0000, 0.0000, 0.3931), Pd at (0.0000, 0.2989, 0.5000), Pd at (0.0000, 0.5000, 0.0000) and Pd at (0.0017, 0.5008, 0.6525).

Density functional theory data (PBE-GGA) for LaTmCo after structural relaxation.

The calculation puts the formation energy at -0.022 eV/atom. The energy above the most stable polymorph in this dataset comes out at 131 meV/atom.

The space group is F-43m (No. 216) and the conventional cell measures 6.7422, 6.7422 and 6.7422 Å, with angles of 90.00, 90.00 and 90.00 degrees. Symmetry generates all atoms from La at (0.0000, 0.0000, 0.0000), Tm at (0.0000, 0.0000, 0.5000) and Co at (0.2500, 0.2500, 0.7500).